Density functional theory data (GGA-PBE) for TlTcSe2 after structural relaxation.

Cell: 5.783 5.027 4.133 Å, 76.39 72.21 116.71°
Positions (direct):
Tc 0.000 0.500 0.500
Se 0.000 0.000 0.000
Tl 0.500 0.500 0.000
Se 0.500 0.000 0.500

Mass density (g/cm3): 8.3
Formation energy without anion corrections (eV/atom): 0.5785
Total DFT energy (no corrections) (eV per atom): -4.347
Symmetry: C2/m (12)

Density functional theory data (GGA-PBE) for TlTcSe2 after structural relaxation.

Cell: 9.564 3.317 6.843 Å, 90.00 67.74 90.00°
Positions (direct):
Tc 0.309 0.602 0.898
Se 0.514 0.102 0.725
Tl 0.511 0.102 0.187
Se 0.845 0.602 0.096
Se 0.169 0.102 0.182
Tc 0.051 0.102 0.924
Se 0.191 0.602 0.640
Tl 0.849 0.601 0.634

Mass density (g/cm3): 7.6
Formation energy without anion corrections (eV/atom): -0.2729
Total DFT energy (no corrections) (eV per atom): -5.198
Symmetry: P2_1/m (11)

Density functional theory data (GGA-PBE) for TlTcSe2 after structural relaxation.

Cell: 3.965 6.790 3.818 Å, 90.00 90.00 90.00°
Positions (direct):
Se 0.000 0.000 0.000
Tl 0.000 0.500 0.500
Tc 0.500 0.000 0.500
Se 0.500 0.500 0.000

Mass density (g/cm3): 7.4
Formation energy without anion corrections (eV/atom): 0.5692
Total DFT energy (no corrections) (eV per atom): -4.356
Symmetry: Pmmm (47)

no.,magnetization (μB per atom)
1,0.81
2,0.00
3,0.98